# MnBeTc2 (PBE, optimized geometry)
data_MnBeTc2
_space_group_name_H-M_alt 'P 4 m m'
_space_group_IT_number 99
_cell_length_a 2.854
_cell_length_b 2.854
_cell_length_c 5.885
_cell_angle_alpha 90.00
_cell_angle_beta 90.00
_cell_angle_gamma 90.00
loop_
_space_group_symop_operation_xyz
'x,y,z'
'-y,x,z'
'-x,-y,z'
'y,-x,z'
'-x,y,z'
'y,x,z'
'x,-y,z'
'-y,-x,z'
loop_
_atom_site_label
_atom_site_fract_x
_atom_site_fract_y
_atom_site_fract_z
Mn1 0.000 0.000 0.000
Be1 0.500 0.500 0.802
Tc1 0.000 0.000 0.562
Tc2 0.500 0.500 0.244
# E_tot: -33.75 eV for the cell shown
# Formation enthalpy at 0 K: -0.118 eV per formula unit